1.
This record from Alexandria via LeMat-Bulk describes a crystal of CaAl3As relaxed with PBEsol. The functional is SCAN.

Values from the calculation:
As for the total energy: -51.6 eV/cell. Its formation energy is 0.310 eV per atom.

Cell lengths 5.011, 5.011, 5.011 Å; angles 90.00, 90.00, 90.00 degrees
Positions (direct):
As (0.000, 0.000, 0.000)
Ca (0.500, 0.500, 0.500)
Al (0.000, 0.500, 0.000)
Al (0.000, 0.000, 0.500)
Al (0.500, 0.000, 0.000)

2.
This record from Alexandria via LeMat-Bulk describes a crystal of HgAuI3 relaxed with PBEsol. The functional is SCAN.

Values from the calculation:
As for the total energy: -247.0 eV/cell.

Cell lengths 5.534, 5.534, 5.534 Å; angles 90.00, 90.00, 90.00 degrees
Positions (direct):
I (0.000, 0.500, 0.000)
I (0.000, 0.000, 0.500)
I (0.500, 0.000, 0.000)
Au (0.000, 0.000, 0.000)
Hg (0.500, 0.500, 0.500)

3.
This record from Alexandria via LeMat-Bulk describes a crystal of MnTlIN2 relaxed with PBEsol. The functional is SCAN.

Values from the calculation:
As for the total energy: -137.7 eV/cell.

Cell lengths 4.176, 4.176, 6.416 Å; angles 90.00, 90.00, 90.00 degrees
Each line ends with the local moment (μB).
Positions (direct):
I (0.000, 0.000, 0.500)  0.01
Tl (0.000, 0.000, 0.000)  -0.01
Mn (0.500, 0.500, 0.500)  4.55
N (0.000, 0.500, 0.000)  0.78
N (0.500, 0.000, 0.000)  0.78

4.
This record from Alexandria via LeMat-Bulk describes a crystal of CsIn2Ag2 relaxed with PBEsol. The functional is SCAN.

Values from the calculation:
As for the total energy: -167.5 eV/cell. Its formation energy is -0.040 eV per atom.

Cell lengths 5.114, 5.114, 6.515 Å; angles 113.11, 113.11, 90.00 degrees
Positions (direct):
Cs (0.000, 0.000, 0.000)
Ag (0.250, 0.750, 0.500)
Ag (0.750, 0.250, 0.500)
In (0.356, 0.356, 0.712)
In (0.644, 0.644, 0.288)

5.
This record from Alexandria via LeMat-Bulk describes a crystal of NiSbP relaxed with PBEsol. The functional is SCAN.

Values from the calculation:
The value obtained for the energy above the most stable polymorph in this dataset is 753.7 meV/atom. As for the total energy: -62.3 eV/cell.

Cell lengths 4.254, 4.254, 4.254 Å; angles 60.00, 60.00, 60.00 degrees
Positions (direct):
Ni (0.500, 0.500, 0.500)
P (0.250, 0.250, 0.250)
Sb (0.000, 0.000, 0.000)

6.
This record from Alexandria via LeMat-Bulk describes a crystal of RbBe2Sb relaxed with PBEsol. The functional is SCAN.

Values from the calculation:
As for the total energy: -63.2 eV/cell.

Cell lengths 4.862, 4.862, 4.862 Å; angles 60.00, 60.00, 60.00 degrees
Positions (direct):
Sb (0.500, 0.500, 0.500)
Rb (0.000, 0.000, 0.000)
Be (0.250, 0.250, 0.250)
Be (0.750, 0.750, 0.750)